Record 1
MnZn2B2Ir5 | Alexandria via LeMat-Bulk | PBE | relaxed; space-group type = No. 127; electronic total energy = -7.130 eV/atom; formation energy = -1.921 eV/f.u.
1.0
9.4579 0.0000 0.0000
0.0000 9.4579 0.0000
0.0000 0.0000 2.8932
Mn Zn B Ir
2 4 4 10
Direct
0.0000 0.0000 0.0000 Mn
0.5000 0.5000 0.0000 Mn
0.1769 0.3231 0.0000 Zn
0.3231 0.8231 0.0000 Zn
0.6769 0.1769 0.0000 Zn
0.8231 0.6769 0.0000 Zn
0.1258 0.6258 0.0000 B
0.3742 0.1258 0.0000 B
0.6258 0.8742 0.0000 B
0.8742 0.3742 0.0000 B
0.0000 0.5000 0.5000 Ir
0.0744 0.7872 0.5000 Ir
0.2128 0.0744 0.5000 Ir
0.2872 0.5744 0.5000 Ir
0.4256 0.2872 0.5000 Ir
0.5000 0.0000 0.5000 Ir
0.5744 0.7128 0.5000 Ir
0.7128 0.4256 0.5000 Ir
0.7872 0.9256 0.5000 Ir
0.9256 0.2128 0.5000 Ir


Record 2
BMoIr | Alexandria via LeMat-Bulk | PBE | relaxed; space-group type = No. 51; electronic total energy = -8.753 eV/atom; formation energy = 0.112 eV/f.u.
1.0
4.3676 0.0000 0.0000
0.0000 3.2677 0.0000
0.0000 0.0000 5.3065
B Mo Ir
2 2 2
Direct
0.0000 0.0000 0.0000 B
0.5000 0.0000 0.0000 B
0.2500 0.0000 0.3712 Mo
0.7500 0.0000 0.6288 Mo
0.2500 0.5000 0.8123 Ir
0.7500 0.5000 0.1877 Ir


Record 3
BMoIr2 | Alexandria via LeMat-Bulk | PBE | relaxed; space-group type = No. 166; electronic total energy = -8.505 eV/atom; formation energy = 1.211 eV/f.u.
1.0
1.3888 0.8018 8.2466
-1.3888 0.8018 8.2466
0.0000 -1.6036 8.2466
B Mo Ir
1 1 2
Direct
0.0000 0.0000 0.0000 B
0.5000 0.5000 0.5000 Mo
0.3933 0.3933 0.3933 Ir
0.6067 0.6067 0.6067 Ir


Record 4
BMoIr | Alexandria via LeMat-Bulk | PBE | relaxed; space-group type = No. 63; electronic total energy = -9.025 eV/atom; formation energy = -0.706 eV/f.u.
1.0
1.4757 -6.7229 0.0000
1.4757 6.7229 0.0000
0.0000 0.0000 3.6390
B Mo Ir
2 2 2
Direct
0.0360 0.9640 0.7500 B
0.9640 0.0360 0.2500 B
0.4105 0.5895 0.7500 Mo
0.5895 0.4105 0.2500 Mo
0.1975 0.8025 0.7500 Ir
0.8025 0.1975 0.2500 Ir


Record 5
BMo2Ir | Alexandria via LeMat-Bulk | PBE | relaxed; space-group type = No. 122; electronic total energy = -8.475 eV/atom; formation energy = 3.302 eV/f.u.
1.0
-2.6120 2.6120 5.1824
2.6120 -2.6120 5.1824
2.6120 2.6120 -5.1824
B Mo Ir
2 4 2
Direct
0.0000 0.0000 0.0000 B
0.7500 0.2500 0.5000 B
0.0643 0.6250 0.9393 Mo
0.3750 0.3143 0.4393 Mo
0.6857 0.1250 0.0607 Mo
0.8750 0.9357 0.5607 Mo
0.2500 0.7500 0.5000 Ir
0.5000 0.5000 0.0000 Ir


Record 6
BMoIr2 | Alexandria via LeMat-Bulk | PBE | relaxed; space-group type = No. 122; electronic total energy = -8.440 eV/atom; formation energy = 1.470 eV/f.u.
1.0
-2.5590 2.5590 5.2256
2.5590 -2.5590 5.2256
2.5590 2.5590 -5.2256
B Mo Ir
2 2 4
Direct
0.0000 0.0000 0.0000 B
0.7500 0.2500 0.5000 B
0.2500 0.7500 0.5000 Mo
0.5000 0.5000 0.0000 Mo
0.0574 0.6250 0.9324 Ir
0.3750 0.3074 0.4324 Ir
0.6926 0.1250 0.0676 Ir
0.8750 0.9426 0.5676 Ir